Entry 1:
{"formula": "MgZnIrAu", "functional": "GGA-PBE", "state": "optimized geometry", "total_energy_ev_per_atom": -4.03, "magmom_total_mub_per_atom": 0.000, "relative_energy_mev_per_atom": 64, "delta_e_f_mev_per_atom": -281, "dos_at_fermi_per_ev_atom": 0.484, "lattice": [[-0.208, 4.097, -1.717], [-3.920, 2.071, -0.342], [-0.919, 3.468, 2.628]], "species": ["Zn", "Au", "Mg", "Ir"], "fractional_positions": [[0.250, 0.250, 0.250], [0.000, 0.000, 0.000], [0.750, 0.750, 0.750], [0.500, 0.500, 0.500]]}

=====

Entry 2:
{"formula": "MgZnIrAu", "functional": "GGA-PBE", "state": "optimized geometry", "total_energy_ev_per_atom": -4.10, "magmom_total_mub_per_atom": 0.000, "relative_energy_mev_per_atom": 0, "delta_e_f_mev_per_atom": -345, "dos_at_fermi_per_ev_atom": 0.248, "lattice": [[3.596, 0.000, 0.000], [0.000, 4.105, 0.000], [0.000, 0.000, 4.201]], "species": ["Zn", "Ir", "Au", "Mg"], "fractional_positions": [[0.000, 0.000, 0.000], [0.500, 0.500, 0.000], [0.500, 0.000, 0.500], [0.000, 0.500, 0.500]]}

=====

Entry 3:
{"formula": "MgZrIrAu2", "functional": "GGA-PBE", "state": "optimized geometry", "total_energy_ev_per_atom": -4.46, "magmom_total_mub_per_atom": 0.000, "relative_energy_mev_per_atom": 281, "delta_e_f_mev_per_atom": 650, "dos_at_fermi_per_ev_atom": 1.463, "lattice": [[5.047, 0.000, 0.000], [0.000, 4.598, 0.000], [0.000, 0.000, 5.047]], "species": ["Au", "Au", "Ir", "Mg", "Zr"], "fractional_positions": [[0.000, 0.000, 0.500], [0.500, 0.000, 0.000], [0.000, 0.000, 0.000], [0.000, 0.500, 0.000], [0.500, 0.500, 0.500]]}